Crystalline CaSmHo2Se4 at its relaxed geometry. Source: Alexandria, functional PBE.

Properties
Formation energy (no corrections) = -1813 meV per atom

Cell lengths 7.128, 4.095, 7.152 Å; angles 90.00, 109.11, 90.00 degrees
Space group P2/m (No. 10)
Symmetry-distinct sites (fractional):
Ca 0.000 0.000 0.000 x1
Sm 0.000 0.500 0.500 x1
Ho 0.500 0.000 0.500 x1
Ho 0.500 0.500 0.000 x1
Se 0.257 0.500 0.250 x2
Se 0.258 0.000 0.756 x2

Crystalline Pm2Tm4Cd at its relaxed geometry. Source: Alexandria, functional PBE.

Properties
Energy = -3.719 eV/atom

Cell lengths 8.136, 8.136, 6.609 Å; angles 90.00, 90.00, 90.00 degrees
Space group I-42m (No. 121)
Symmetry-distinct sites (fractional):
Pm 0.000 0.500 0.250 x4
Tm 0.204 0.204 0.075 x8
Cd 0.000 0.000 0.500 x2

Crystalline TbAgS2 at its relaxed geometry. Source: Alexandria, functional PBE.

Properties
Formation energy (no corrections) = -1175 meV per atom

Cell lengths 7.968, 4.598, 5.549 Å; angles 90.00, 90.02, 90.00 degrees
Space group Cm (No. 8)
Symmetry-distinct sites (fractional):
Tb 0.000 0.000 0.000 x2
Ag 0.166 0.500 0.594 x2
S 0.167 0.500 0.068 x2
S 0.499 0.500 0.525 x2

Crystalline TiZnIn2 at its relaxed geometry. Source: Alexandria, functional PBE.

Properties
Energy = -3.606 eV/atom

Cell lengths 3.402, 3.402, 6.821 Å; angles 90.00, 90.00, 90.00 degrees
Space group P4/mmm (No. 123)
Symmetry-distinct sites (fractional):
Ti 0.000 0.000 0.000 x1
Zn 0.000 0.000 0.500 x1
In 0.500 0.500 0.259 x2